(1)
Density functional theory data (GGA-PBE) for NaCdSBr after structural relaxation.

```
NaCdSBr
1.0
2.0591 1.1888 7.4014
-2.0591 1.1888 7.4014
0.0000 -2.3776 7.4014
Na Cd S Br
1 1 1 1
Direct
0.0000 0.0000 0.0000
0.8588 0.8588 0.8588
0.2376 0.2376 0.2376
0.7379 0.7379 0.7379
```

Results
raw formation energy	-983	meV/atom
space group	R3m
VASP energy	-2.99	eV per atom


(2)
Density functional theory data (GGA-PBE) for NaCdSbBr6 after structural relaxation.

```
NaCdSbBr6
1.0
7.1939 0.0000 0.0000
-3.5970 6.2301 0.0000
0.0000 0.0000 13.4173
Na Cd Sb Br
2 2 2 12
Direct
0.0000 0.0000 0.0000
0.0000 0.0000 0.5000
0.3333 0.6667 0.2500
0.6667 0.3333 0.7500
0.3333 0.6667 0.7500
0.6667 0.3333 0.2500
0.0025 0.3559 0.1298
0.0025 0.6466 0.3702
0.3534 0.3559 0.3702
0.3534 0.9975 0.1298
0.3559 0.0025 0.6298
0.3559 0.3534 0.8702
0.6441 0.6466 0.1298
0.6441 0.9975 0.3702
0.6466 0.0025 0.8702
0.6466 0.6441 0.6298
0.9975 0.3534 0.6298
0.9975 0.6441 0.8702
```

Results
raw formation energy	-886	meV/atom
space group	P-31c
VASP energy	-2.71	eV per atom


(3)
Density functional theory data (GGA-PBE) for NaSmCdBr6 after structural relaxation.

```
NaSmCdBr6
1.0
7.2388 0.0000 0.0000
-3.6194 6.2690 0.0000
0.0000 0.0000 13.3998
Na Sm Cd Br
2 2 2 12
Direct
0.0000 0.0000 0.0000
0.0000 0.0000 0.5000
0.3333 0.6667 0.2500
0.6667 0.3333 0.7500
0.3333 0.6667 0.7500
0.6667 0.3333 0.2500
0.0056 0.3554 0.6290
0.0056 0.6501 0.8710
0.3499 0.3554 0.8710
0.3499 0.9944 0.6290
0.3554 0.0056 0.1290
0.3554 0.3499 0.3710
0.6446 0.6501 0.6290
0.6446 0.9944 0.8710
0.6501 0.0056 0.3710
0.6501 0.6446 0.1290
0.9944 0.3499 0.1290
0.9944 0.6446 0.3710
```

Results
raw formation energy	-1449	meV/atom
space group	P-31c
VASP energy	-3.34	eV per atom


(4)
Density functional theory data (GGA-PBE) for NaCdSnBr6 after structural relaxation.

```
NaCdSnBr6
1.0
7.1295 0.0000 0.0000
-3.5647 6.1743 0.0000
0.0000 0.0000 6.3823
Na Cd Sn Br
1 1 1 6
Direct
0.0000 0.0000 0.0000
0.6667 0.3333 0.0000
0.3333 0.6667 0.5000
0.3463 0.0031 0.7462
0.3463 0.3432 0.2538
0.6568 0.0031 0.2538
0.6568 0.6537 0.7462
0.9969 0.3432 0.7462
0.9969 0.6537 0.2538
```

Results
raw formation energy	-843	meV/atom
space group	P312
VASP energy	-2.65	eV per atom


(5)
Density functional theory data (GGA-PBE) for Na2CdSnBr6 after structural relaxation.

```
Na2CdSnBr6
1.0
3.7121 2.1432 6.6788
-3.7121 2.1432 6.6788
0.0000 -4.2864 6.6788
Na Cd Sn Br
2 1 1 6
Direct
0.0000 0.0000 0.0000
0.4968 0.4968 0.4968
0.6949 0.6949 0.6949
0.1961 0.1961 0.1961
0.0733 0.4267 0.7931
0.3084 0.9060 0.5925
0.4267 0.7931 0.0733
0.5925 0.3084 0.9060
0.7931 0.0733 0.4267
0.9060 0.5925 0.3084
```

Results
raw formation energy	-1090	meV/atom
space group	R3
VASP energy	-2.85	eV per atom


(6)
Density functional theory data (GGA-PBE) for NaTbCdBr6 after structural relaxation.

```
NaTbCdBr6
1.0
7.1829 0.0000 0.0000
-3.5915 6.2206 0.0000
0.0000 0.0000 13.3950
Na Tb Cd Br
2 2 2 12
Direct
0.0000 0.0000 0.0000
0.0000 0.0000 0.5000
0.3333 0.6667 0.2500
0.6667 0.3333 0.7500
0.3333 0.6667 0.7500
0.6667 0.3333 0.2500
0.0006 0.3544 0.6298
0.0006 0.6461 0.8702
0.3544 0.0006 0.1298
0.3544 0.3539 0.3702
0.3539 0.3544 0.8702
0.3539 0.9994 0.6298
0.6461 0.0006 0.3702
0.6461 0.6456 0.1298
0.6456 0.6461 0.6298
0.6456 0.9994 0.8702
0.9994 0.3539 0.1298
0.9994 0.6456 0.3702
```

Results
raw formation energy	-1454	meV/atom
space group	P-31c
VASP energy	-3.33	eV per atom


(7)
Density functional theory data (GGA-PBE) for Na2CdTcBr after structural relaxation.

```
Na2CdTcBr
1.0
5.8217 0.0000 0.0000
0.0000 5.8217 0.0000
0.0000 0.0000 5.6661
Na Cd Tc Br
2 1 1 1
Direct
0.0000 0.5000 0.0000
0.5000 0.0000 0.0000
0.0000 0.0000 0.0000
0.5000 0.5000 0.5000
0.0000 0.0000 0.5000
```

Results
raw formation energy	987	meV/atom
space group	P4/mmm
VASP energy	-2.13	eV per atom


(8)
Density functional theory data (GGA-PBE) for NaCd2TcBr after structural relaxation.

```
NaCd2TcBr
1.0
5.7266 0.0000 0.0000
0.0000 5.7266 0.0000
0.0000 0.0000 5.0579
Na Cd Tc Br
1 2 1 1
Direct
0.0000 0.0000 0.0000
0.0000 0.5000 0.0000
0.5000 0.0000 0.0000
0.5000 0.5000 0.5000
0.0000 0.0000 0.5000
```

Results
raw formation energy	936	meV/atom
space group	P4/mmm
VASP energy	-2.10	eV per atom


(9)
Density functional theory data (GGA-PBE) for NaCdTeBr after structural relaxation.

```
NaCdTeBr
1.0
4.0602 -2.3449 0.0000
4.0602 2.3449 0.0000
-2.7229 0.0000 7.7240
Na Cd Te Br
1 1 1 1
Direct
0.0000 0.0000 0.0000
0.5018 0.5018 0.5113
0.1326 0.1326 0.4044
0.6259 0.6259 0.8791
```

Results
raw formation energy	-922	meV/atom
space group	Cm
VASP energy	-2.68	eV per atom


(10)
Density functional theory data (GGA-PBE) for NaTi2CdBr after structural relaxation.

```
NaTi2CdBr
1.0
5.4201 0.0000 0.0000
0.0000 5.4201 0.0000
0.0000 0.0000 4.9916
Na Ti Cd Br
1 2 1 1
Direct
0.0000 0.0000 0.0000
0.0000 0.5000 0.0000
0.5000 0.0000 0.0000
0.5000 0.5000 0.5000
0.0000 0.0000 0.5000
```

Results
raw formation energy	1137	meV/atom
space group	P4/mmm
VASP energy	-2.80	eV per atom


(11)
Density functional theory data (GGA-PBE) for NaTlCd2Br8 after structural relaxation.

```
NaTlCd2Br8
1.0
6.5780 0.0000 0.0000
0.0000 8.2744 0.0000
-0.0893 0.0000 7.0127
Na Tl Cd Br
1 1 2 8
Direct
0.0000 0.0000 0.0000
0.0000 0.5000 0.0000
0.5000 0.2489 0.5000
0.5000 0.7511 0.5000
0.2419 0.2608 0.1558
0.2419 0.7392 0.1558
0.2630 0.5000 0.6479
0.2788 0.0000 0.6553
0.7212 0.0000 0.3447
0.7370 0.5000 0.3521
0.7581 0.2608 0.8442
0.7581 0.7392 0.8442
```

Results
raw formation energy	-794	meV/atom
space group	P2/m
VASP energy	-2.37	eV per atom


(12)
Density functional theory data (GGA-PBE) for NaTlCdBr4 after structural relaxation.

```
NaTlCdBr4
1.0
7.4834 0.0000 0.0000
0.0000 7.7632 0.0000
-2.4388 0.0000 8.5083
Na Tl Cd Br
2 2 2 8
Direct
0.2189 0.2500 0.0606
0.7811 0.7500 0.9394
0.2217 0.2500 0.5510
0.7783 0.7500 0.4490
0.2501 0.7500 0.8277
0.7499 0.2500 0.1723
0.0021 0.0033 0.7752
0.0021 0.4967 0.7752
0.4588 0.7500 0.6345
0.4859 0.7500 0.1064
0.5141 0.2500 0.8936
0.5412 0.2500 0.3655
0.9979 0.5033 0.2248
0.9979 0.9967 0.2248
```

Results
raw formation energy	-1030	meV/atom
space group	P2_1/m
VASP energy	-2.64	eV per atom